First-principles (PBE) data for a relaxed La2NpO5 crystal, as listed in Alexandria via LeMat-Bulk.

Structure (POSCAR):
```
La2NpO5
1.0
6.512 0.000 0.000
0.000 10.192 0.000
0.000 0.000 3.546
La Np O
4 2 10
Cartesian
0.165 1.729 0.000
3.091 6.825 0.000
3.421 3.367 0.000
6.347 8.463 0.000
0.000 5.096 1.773
3.256 0.000 1.773
0.000 0.000 1.773
1.029 4.162 0.000
1.079 7.082 1.773
2.177 1.987 1.773
2.227 9.258 0.000
3.256 5.096 1.773
4.285 0.934 0.000
4.335 8.205 1.773
5.434 3.109 1.773
5.484 6.030 0.000
```

The density comes out at 8.4 g/cm3. The value obtained for the total energy is -147.289 eV per cell. As for the space group: Pbam, No. 55. As for the formation energy (no corrections): -3257 meV per atom.